Record 1
A relaxed AsBr3Cl crystal, computed with PBE.

Magnetic moment: 1.9 μB per cell
E above lowest polymorph: 5.51 eV per formula unit

Unit cell a=5.3480 b=5.3480 c=5.3480 alpha=90.00 beta=90.00 gamma=90.00
With the nearest neighbours (Å) after each atom.
Space group Pm-3m (No. 221)
Inequivalent atoms, fractional coordinates:
As: 0.0000 0.0000 0.0000 x1  12 Br 3.78
Br: 0.0000 0.5000 0.5000 x3  2 Cl 2.67
Cl: 0.5000 0.5000 0.5000 x1  6 Br 2.67

---

Record 2
A relaxed AsBr2Cl8 crystal, computed with PBE.

DFT total energy: -2.256 eV/atom
Magnetic moment: 0.9 μB per cell

Unit cell a=6.6477 b=6.6820 c=9.2645 alpha=96.07 beta=105.19 gamma=94.16
With the nearest neighbours (Å) after each atom.
Space group P-1 (No. 2)
Inequivalent atoms, fractional coordinates:
As: 0.0000 0.0000 0.0000 x1  6 Cl 2.24-2.40
Br: 0.1961 0.9006 0.6154 x2  1 Cl 2.22
Cl: 0.1524 0.1612 0.8281 x2  1 As 2.40, 1 Br 2.58
Cl: 0.2079 0.7508 0.0010 x2  1 As 2.24
Cl: 0.2477 0.1824 0.1923 x2  1 As 2.25
Cl: 0.2556 0.6764 0.4414 x2  1 Br 2.22

---

Record 3
A relaxed As3BrCl crystal, computed with PBE.

Magnetic moment: 0.0 μB per cell
E above lowest polymorph: 0.41 eV per formula unit

Unit cell a=5.1560 b=5.1560 c=5.1560 alpha=90.00 beta=90.00 gamma=90.00
With the nearest neighbours (Å) after each atom.
Space group Pm-3m (No. 221)
Inequivalent atoms, fractional coordinates:
As: 0.0000 0.0000 0.5000 x3  2 Br 2.58
Br: 0.0000 0.0000 0.0000 x1  6 As 2.58
Cl: 0.5000 0.5000 0.5000 x1  12 As 3.65

---

Record 4
A relaxed AsBrCl6 crystal, computed with PBE.

DFT total energy: -2.460 eV/atom
Magnetic moment: 0.0 μB per cell

Unit cell a=6.6735 b=7.4054 c=7.4576 alpha=114.61 beta=106.23 gamma=103.64
With the nearest neighbours (Å) after each atom.
Space group P-1 (No. 2)
Inequivalent atoms, fractional coordinates:
As: 0.0000 0.0000 0.0000 x1  6 Cl 2.24-2.45
Br: 0.0000 0.5000 0.5000 x1  2 Cl 2.40
Cl: 0.1006 0.8838 0.6908 x2  1 Br 2.40, 1 As 2.45
Cl: 0.1623 0.8140 0.1172 x2  1 As 2.24
Cl: 0.3350 0.2876 0.1931 x2  1 As 2.24

---

Record 5
A relaxed AsBr3Cl crystal, computed with PBE.

Magnetic moment: 1.0 μB per cell
E above lowest polymorph: 1.98 eV per formula unit

Unit cell a=5.2893 b=5.2893 c=5.2893 alpha=90.00 beta=90.00 gamma=90.00
With the nearest neighbours (Å) after each atom.
Space group Pm-3m (No. 221)
Inequivalent atoms, fractional coordinates:
As: 0.0000 0.0000 0.0000 x1  6 Br 2.64
Br: 0.0000 0.0000 0.5000 x3  2 As 2.64
Cl: 0.5000 0.5000 0.5000 x1  12 Br 3.74

---

Record 6
A relaxed AsBr3Cl crystal, computed with PBE.

Magnetic moment: 2.1 μB per cell
E above lowest polymorph: 0.00 eV per formula unit

Unit cell a=6.8253 b=7.0074 c=10.3685 alpha=89.71 beta=89.97 gamma=89.95
With the nearest neighbours (Å) after each atom.
Space group P1 (No. 1)
Inequivalent atoms, fractional coordinates:
As: 0.0000 0.0000 0.0000 x1  1 Cl 2.21, 3 Br 2.41-2.43
As: 0.5004 0.2410 0.4992 x1  1 Cl 2.21, 3 Br 2.41-2.43
Br: 0.0147 0.3472 0.9990 x1  1 As 2.43
Br: 0.3500 0.3678 0.3064 x1  1 As 2.41
Br: 0.3498 0.3680 0.6911 x1  1 As 2.41
Br: 0.5147 0.8938 0.5008 x1  1 As 2.43
Br: 0.8494 0.8736 0.8080 x1  1 As 2.41
Br: 0.8496 0.8733 0.1928 x1  1 As 2.41
Cl: 0.3054 0.8944 0.0004 x1  1 As 2.21
Cl: 0.8059 0.3458 0.4991 x1  1 As 2.21

---

Record 7
A relaxed AsBrCl3 crystal, computed with PBE.

Magnetic moment: 1.0 μB per cell
E above lowest polymorph: 1.74 eV per formula unit

Unit cell a=5.0281 b=5.0281 c=5.0281 alpha=90.00 beta=90.00 gamma=90.00
With the nearest neighbours (Å) after each atom.
Space group Pm-3m (No. 221)
Inequivalent atoms, fractional coordinates:
As: 0.0000 0.0000 0.0000 x1  6 Cl 2.51
Br: 0.5000 0.5000 0.5000 x1  12 Cl 3.56
Cl: 0.0000 0.0000 0.5000 x3  2 As 2.51

---

Record 8
A relaxed CoAs2BrCl crystal, computed with PBE.

Magnetic moment: 2.9 μB per cell
E above lowest polymorph: 5.07 eV per formula unit

Unit cell a=4.6938 b=4.6938 c=6.4245 alpha=90.00 beta=90.00 gamma=90.00
With the nearest neighbours (Å) after each atom.
Space group P4/mmm (No. 123)
Inequivalent atoms, fractional coordinates:
Co: 0.0000 0.0000 0.0000 x1  4 Br 3.32
As: 0.0000 0.5000 0.5000 x2  2 Cl 2.35
Br: 0.5000 0.5000 0.0000 x1  2 Cl 3.21, 4 Co 3.32
Cl: 0.5000 0.5000 0.5000 x1  4 As 2.35

---

Record 9
A relaxed CoAs2BrCl crystal, computed with PBE.

Magnetic moment: 0.0 μB per cell
E above lowest polymorph: 0.00 eV per formula unit

Unit cell a=4.6076 b=4.6076 c=4.9449 alpha=90.00 beta=90.00 gamma=90.00
With the nearest neighbours (Å) after each atom.
Space group P4/mmm (No. 123)
Inequivalent atoms, fractional coordinates:
Co: 0.0000 0.0000 0.0000 x1  4 As 2.30, 2 Br 2.47
As: 0.0000 0.5000 0.0000 x2  2 Co 2.30
Br: 0.0000 0.0000 0.5000 x1  2 Co 2.47
Cl: 0.5000 0.5000 0.5000 x1  4 Br 3.26, 8 As 3.38

---

Record 10
A relaxed CrAs2BrCl crystal, computed with PBE.

Magnetic moment: 0.0 μB per cell
E above lowest polymorph: 0.00 eV per formula unit

Unit cell a=4.6698 b=4.6698 c=4.9314 alpha=90.00 beta=90.00 gamma=90.00
With the nearest neighbours (Å) after each atom.
Space group P4/mmm (No. 123)
Inequivalent atoms, fractional coordinates:
Cr: 0.0000 0.0000 0.0000 x1  4 As 2.33, 2 Br 2.47
As: 0.0000 0.5000 0.0000 x2  2 Cr 2.33
Br: 0.0000 0.0000 0.5000 x1  2 Cr 2.47
Cl: 0.5000 0.5000 0.5000 x1  4 Br 3.30, 8 As 3.40

---

Record 11
A relaxed CrAs2BrCl crystal, computed with PBE.

Magnetic moment: 3.1 μB per cell
E above lowest polymorph: 3.84 eV per formula unit

Unit cell a=4.7516 b=4.7516 c=6.3102 alpha=90.00 beta=90.00 gamma=90.00
With the nearest neighbours (Å) after each atom.
Space group P4/mmm (No. 123)
Inequivalent atoms, fractional coordinates:
Cr: 0.0000 0.0000 0.0000 x1  4 Br 3.36
As: 0.0000 0.5000 0.5000 x2  2 Cl 2.38
Br: 0.5000 0.5000 0.0000 x1  2 Cl 3.16, 4 Cr 3.36
Cl: 0.5000 0.5000 0.5000 x1  4 As 2.38

---

Record 12
A relaxed CsAs2BrCl crystal, computed with PBE.

Magnetic moment: 3.3 μB per cell
E above lowest polymorph: 5.01 eV per formula unit

Unit cell a=6.1436 b=6.1436 c=6.2258 alpha=90.00 beta=90.00 gamma=90.00
With the nearest neighbours (Å) after each atom.
Space group P4/mmm (No. 123)
Inequivalent atoms, fractional coordinates:
Cs: 0.0000 0.0000 0.0000 x1  4 As 3.07, 2 Br 3.11
As: 0.0000 0.5000 0.0000 x2  2 Cs 3.07
Br: 0.0000 0.0000 0.5000 x1  2 Cs 3.11
Cl: 0.5000 0.5000 0.5000 x1  4 Br 4.34, 8 As 4.37